# 1
Here is an optimized crystal structure of NpSc2Ag from Alexandria via LeMat-Bulk. Energies are from PBE.

Total moment = 4.6 μB per formula unit
Energy of formation = 77.6 kJ/mol of formula units
Raw total energy = -6.913 eV/atom

Unit cell a=5.1597 b=5.1597 c=3.2021 alpha=90.00 beta=90.00 gamma=90.00
Space group P4/mmm (No. 123)
Asymmetric unit:
Np  0.0000  0.0000  0.0000 (multiplicity 1)
Sc  0.0000  0.5000  0.5000 (multiplicity 2)
Ag  0.5000  0.5000  0.0000 (multiplicity 1)

---

# 2
Here is an optimized crystal structure of Np3ScAg3Se8 from Alexandria via LeMat-Bulk. Energies are from PBE.

Total moment = 11.0 μB per formula unit
ΔE_f (raw) = -0.87 eV/atom
Raw total energy = -6.309 eV/atom

Unit cell a=13.5848 b=8.3150 c=7.9807 alpha=90.00 beta=122.34 gamma=90.00
Space group C2/m (No. 12)
Asymmetric unit:
Np  0.0000  0.0000  0.0000 (multiplicity 2)
Np  0.2500  0.2500  0.5000 (multiplicity 4)
Sc  0.0000  0.5000  0.0000 (multiplicity 2)
Ag  0.0000  0.5000  0.5000 (multiplicity 2)
Ag  0.2500  0.2500  0.0000 (multiplicity 4)
Se  0.0008  0.2589  0.2393 (multiplicity 8)
Se  0.2404  0.5000  0.2432 (multiplicity 4)
Se  0.2492  0.0000  0.2517 (multiplicity 4)

---

# 3
Here is an optimized crystal structure of Np3ScAg3Te8 from Alexandria via LeMat-Bulk. Energies are from PBE.

Total moment = 11.0 μB per formula unit
ΔE_f (raw) = -0.50 eV/atom
Raw total energy = -5.753 eV/atom

Unit cell a=14.6977 b=8.7965 c=8.5836 alpha=90.00 beta=123.52 gamma=90.00
Space group C2/m (No. 12)
Asymmetric unit:
Np  0.0000  0.0000  0.0000 (multiplicity 2)
Np  0.2500  0.2500  0.5000 (multiplicity 4)
Sc  0.0000  0.5000  0.0000 (multiplicity 2)
Ag  0.0000  0.5000  0.5000 (multiplicity 2)
Ag  0.2500  0.2500  0.0000 (multiplicity 4)
Te  0.0020  0.2593  0.7581 (multiplicity 8)
Te  0.2428  0.5000  0.2397 (multiplicity 4)
Te  0.2474  0.5000  0.7519 (multiplicity 4)

---

no.,DOS(E_F) (states/eV/f.u.)
1,7.68
2,30.49
3,29.60